# 1
# Pr2ZrAs4Rh3

Crystalline Pr2ZrAs4Rh3 at its relaxed geometry (PBE, the Alexandria database).

V ... 199 Å³/cell
DFT formation energy ... -964 meV per atom
Total magnetization ... 0.000 Bohr magnetons per cell
Space-group type ... P-4m2 (115)

Unit cell a=4.3399 b=4.3399 c=10.5457 alpha=90.00 beta=90.00 gamma=90.00
Last column: nearest neighbours and their distance in Å.
Element x y z (fractional)
Pr (0.5000, 0.0000, 0.2276)  8 As 3.24-3.33, 7 Rh 3.30-3.60, 2 Zr 3.60
Pr (0.0000, 0.5000, 0.7724)  8 As 3.24-3.33, 7 Rh 3.30-3.60, 2 Zr 3.60
Zr (0.5000, 0.5000, 0.5000)  4 As 2.69
As (0.5000, 0.5000, 0.0000)  4 Rh 2.47
As (0.0000, 0.0000, 0.0000)  4 Rh 2.47
As (0.5000, 0.0000, 0.6506)  3 Rh 2.50-2.69, 2 Zr 2.69
As (0.0000, 0.5000, 0.3494)  3 Rh 2.50-2.69, 2 Zr 2.69
Rh (0.0000, 0.0000, 0.5000)  4 As 2.69
Rh (0.5000, 0.0000, 0.8874)  5 As 2.47-2.50
Rh (0.0000, 0.5000, 0.1126)  5 As 2.47-2.50



# 2
# CrCdAg2

Crystalline CrCdAg2 at its relaxed geometry (PBE, the Alexandria database).

V ... 74 Å³/cell
DFT formation energy ... 272 meV per atom
Total magnetization ... 4.469 Bohr magnetons per cell
Space-group type ... Cmmm (65)

Unit cell a=4.9825 b=4.9825 c=3.0795 alpha=90.00 beta=90.00 gamma=105.04
Last column: nearest neighbours and their distance in Å.
Element x y z (fractional)
Ag (0.0000, 0.0000, 0.0000)  4 Cr 2.93, 4 Cd 2.93, 4 Ag 3.03-3.08
Ag (0.5000, 0.5000, 0.0000)  4 Cd 2.93, 4 Cr 2.93, 4 Ag 3.03-3.08
Cd (0.5000, 0.0000, 0.5000)  8 Ag 2.93, 2 Cr 3.03, 2 Cd 3.08
Cr (0.0000, 0.5000, 0.5000)  8 Ag 2.93, 2 Cd 3.03, 2 Cr 3.08



# 3
# Hg2Te2Br

Crystalline Hg2Te2Br at its relaxed geometry (PBE, the Alexandria database).

V ... 154 Å³/cell
Polymorph energy (0 for the lowest one) ... 0.000 eV/atom
Formation energy (no corrections) ... 0.03 eV/atom
Total magnetization ... 0.000 Bohr magnetons per cell
Space-group type ... I4/mmm (139)

Unit cell a=4.6683 b=4.6683 c=7.7885 alpha=72.56 beta=72.56 gamma=90.00
Last column: nearest neighbours and their distance in Å.
Element x y z (fractional)
Te (0.3789, 0.3789, 0.2423)  4 Hg 2.96
Te (0.6211, 0.6211, 0.7577)  4 Hg 2.96
Hg (0.7500, 0.2500, 0.5000)  4 Te 2.96, 4 Hg 3.30
Hg (0.2500, 0.7500, 0.5000)  4 Te 2.96, 4 Hg 3.30
Br (0.0000, 0.0000, 0.0000)  8 Te 3.72



# 4
# CdNi3N

Crystalline CdNi3N at its relaxed geometry (PBE, the Alexandria database).

V ... 166 Å³/cell
Polymorph energy (0 for the lowest one) ... 0.954 eV/atom
Formation energy (no corrections) ... 0.89 eV/atom
Total magnetization ... 3.539 Bohr magnetons per cell
Space-group type ... I-4m2 (119)

Unit cell a=4.1141 b=4.1141 c=10.2136 alpha=78.38 beta=78.38 gamma=90.00
Last column: nearest neighbours and their distance in Å.
Element x y z (fractional)
Ni (0.1213, 0.8756, 0.2487)  2 Ni 2.02-2.09
Ni (0.1244, 0.8787, 0.7513)  2 Ni 2.02-2.09
Ni (0.1244, 0.3700, 0.7513)  2 Ni 2.02-2.09
Ni (0.6300, 0.8756, 0.2487)  2 Ni 2.02-2.09
Ni (0.3504, 0.3504, 0.2992)  2 N 2.07
Ni (0.6496, 0.6496, 0.7008)  2 N 2.07
N (0.6358, 0.1358, 0.7284)  6 Ni 2.07-2.30
N (0.8642, 0.3642, 0.2716)  6 Ni 2.07-2.30
Cd (0.0000, 0.0000, 0.0000)  4 Ni 2.64
Cd (0.2500, 0.7500, 0.5000)  8 Ni 2.67-2.85



# 5
# KCrRh3

Crystalline KCrRh3 at its relaxed geometry (PBE, the Alexandria database).

V ... 99 Å³/cell
Polymorph energy (0 for the lowest one) ... 1.936 eV/atom
DFT formation energy ... 2655 meV per atom
Total magnetization ... 1.313 Bohr magnetons per cell
Space-group type ... Pm-3m (221)

Unit cell a=4.6301 b=4.6301 c=4.6301 alpha=90.00 beta=90.00 gamma=90.00
Last column: nearest neighbours and their distance in Å.
Element x y z (fractional)
Cr (0.5000, 0.5000, 0.5000)  12 Rh 3.27
K (0.0000, 0.0000, 0.0000)  6 Rh 2.32
Rh (0.0000, 0.5000, 0.0000)  2 K 2.32
Rh (0.0000, 0.0000, 0.5000)  2 K 2.32
Rh (0.5000, 0.0000, 0.0000)  2 K 2.32



# 6
# Na2InCuBr6

Crystalline Na2InCuBr6 at its relaxed geometry (PBE, the Alexandria database).

V ... 305 Å³/cell
Formation energy (no corrections) ... -0.84 eV/atom
Total magnetization ... 0.000 Bohr magnetons per cell
Space-group type ... Fm-3m (225)

Unit cell a=7.5571 b=7.5571 c=7.5571 alpha=60.00 beta=60.00 gamma=60.00
Last column: nearest neighbours and their distance in Å.
Element x y z (fractional)
Na (0.7500, 0.7500, 0.7500)  12 Br 3.78
Na (0.2500, 0.2500, 0.2500)  12 Br 3.78
In (0.0000, 0.0000, 0.0000)  6 Br 2.73
Cu (0.5000, 0.5000, 0.5000)  6 Br 2.61
Br (0.2553, 0.7447, 0.2553)  1 Cu 2.61, 1 In 2.73
Br (0.7447, 0.2553, 0.2553)  1 Cu 2.61, 1 In 2.73
Br (0.7447, 0.2553, 0.7447)  1 Cu 2.61, 1 In 2.73
Br (0.2553, 0.2553, 0.7447)  1 Cu 2.61, 1 In 2.73
Br (0.7447, 0.7447, 0.2553)  1 Cu 2.61, 1 In 2.73
Br (0.2553, 0.7447, 0.7447)  1 Cu 2.61, 1 In 2.73



# 7
# LaPmZnRh

Crystalline LaPmZnRh at its relaxed geometry (PBE, the Alexandria database).

V ... 100 Å³/cell
Polymorph energy (0 for the lowest one) ... 0.000 eV/atom
DFT formation energy ... -535 meV per atom
Total magnetization ... 0.000 Bohr magnetons per cell
Space-group type ... Amm2 (38)

Unit cell a=4.0326 b=4.4112 c=5.9486 alpha=90.00 beta=109.81 gamma=90.00
Last column: nearest neighbours and their distance in Å.
Element x y z (fractional)
La (0.8627, 0.5000, 0.7254)  4 Rh 3.08, 3 Zn 3.09-3.25
Pm (0.1370, 0.0000, 0.2740)  4 Zn 3.08, 3 Rh 3.09-3.26
Zn (0.5720, 0.5000, 0.1441)  2 Rh 2.73
Rh (0.4282, 0.0000, 0.8564)  2 Zn 2.73



# 8
# K2Cd3F8

Crystalline K2Cd3F8 at its relaxed geometry (PBE, the Alexandria database).

V ... 232 Å³/cell
Polymorph energy (0 for the lowest one) ... 0.034 eV/atom
Formation energy (no corrections) ... -2.36 eV/atom
Total magnetization ... 0.000 Bohr magnetons per cell
Space-group type ... P2/m (10)

Unit cell a=3.6512 b=7.2610 c=9.3303 alpha=69.90 beta=90.00 gamma=90.00
Last column: nearest neighbours and their distance in Å.
Element x y z (fractional)
K (0.5000, 0.7472, 0.7159)  4 F 2.54-2.77
K (0.5000, 0.2528, 0.2841)  4 F 2.54-2.77
Cd (0.5000, 0.0000, 0.0000)  6 F 2.21-2.34
Cd (0.0000, 0.7305, 0.3401)  6 F 2.21-2.46
Cd (0.0000, 0.2695, 0.6599)  6 F 2.21-2.46
F (0.0000, 0.4091, 0.3923)  2 Cd 2.21-2.35
F (0.0000, 0.5909, 0.6077)  2 Cd 2.21-2.35
F (0.0000, 0.9414, 0.8645)  3 Cd 2.34-2.49
F (0.0000, 0.0586, 0.1355)  3 Cd 2.34-2.49
F (0.5000, 0.2980, 0.8273)  3 Cd 2.21-2.46
F (0.5000, 0.8708, 0.4000)  2 Cd 2.25
F (0.5000, 0.1292, 0.6000)  2 Cd 2.25
F (0.5000, 0.7020, 0.1727)  3 Cd 2.21-2.46



# 9
# LiMnSb3

Crystalline LiMnSb3 at its relaxed geometry (PBE, the Alexandria database).

V ... 118 Å³/cell
Polymorph energy (0 for the lowest one) ... 0.698 eV/atom
Formation energy (no corrections) ... 1.01 eV/atom
Total magnetization ... 0.166 Bohr magnetons per cell
Space-group type ... Pm-3m (221)

Unit cell a=4.9067 b=4.9067 c=4.9067 alpha=90.00 beta=90.00 gamma=90.00
Last column: nearest neighbours and their distance in Å.
Element x y z (fractional)
Sb (0.0000, 0.5000, 0.0000)  2 Li 2.45
Sb (0.0000, 0.0000, 0.5000)  2 Li 2.45
Sb (0.5000, 0.0000, 0.0000)  2 Li 2.45
Mn (0.5000, 0.5000, 0.5000)  12 Sb 3.47
Li (0.0000, 0.0000, 0.0000)  6 Sb 2.45



# 10
# NaTl2SbBr

Crystalline NaTl2SbBr at its relaxed geometry (PBE, the Alexandria database).

V ... 216 Å³/cell
Formation energy (no corrections) ... -0.24 eV/atom
Total magnetization ... 0.000 Bohr magnetons per cell
Space-group type ... P4/mmm (123)

Unit cell a=6.0174 b=5.9525 c=6.0174 alpha=90.00 beta=90.00 gamma=90.00
Last column: nearest neighbours and their distance in Å.
Element x y z (fractional)
Sb (0.0000, 0.0000, 0.0000)  2 Na 2.98, 4 Tl 3.01
Tl (0.0000, 0.0000, 0.5000)  2 Sb 3.01
Tl (0.5000, 0.0000, 0.0000)  2 Sb 3.01
Br (0.5000, 0.5000, 0.5000)  8 Tl 4.23, 4 Na 4.25
Na (0.0000, 0.5000, 0.0000)  2 Sb 2.98



# 11
# Ba2Sb3Pt4Au

Crystalline Ba2Sb3Pt4Au at its relaxed geometry (PBE, the Alexandria database).

V ... 244 Å³/cell
Formation energy (no corrections) ... -0.74 eV/atom
Total magnetization ... 0.000 Bohr magnetons per cell
Space-group type ... P-4m2 (115)

Unit cell a=4.7941 b=4.7941 c=10.6028 alpha=90.00 beta=90.00 gamma=90.00
Last column: nearest neighbours and their distance in Å.
Element x y z (fractional)
Ba (0.5000, 0.0000, 0.2546)  6 Sb 3.54-3.67, 2 Au 3.54, 9 Pt 3.61-3.94
Ba (0.0000, 0.5000, 0.7454)  6 Sb 3.54-3.67, 2 Au 3.54, 9 Pt 3.61-3.94
Sb (0.0000, 0.0000, 0.5000)  4 Pt 2.75
Sb (0.5000, 0.0000, 0.8768)  5 Pt 2.66-2.73
Sb (0.0000, 0.5000, 0.1232)  5 Pt 2.66-2.73
Pt (0.5000, 0.5000, 0.0000)  4 Sb 2.73
Pt (0.0000, 0.0000, 0.0000)  4 Sb 2.73
Pt (0.5000, 0.0000, 0.6263)  3 Sb 2.66-2.75, 2 Au 2.75
Pt (0.0000, 0.5000, 0.3737)  3 Sb 2.66-2.75, 2 Au 2.75
Au (0.5000, 0.5000, 0.5000)  4 Pt 2.75



# 12
# La2PmPaAs4

Crystalline La2PmPaAs4 at its relaxed geometry (PBE, the Alexandria database).

V ... 219 Å³/cell
DFT formation energy ... -1435 meV per atom
Total magnetization ... 0.003 Bohr magnetons per cell
Space-group type ... P2/m (10)

Unit cell a=4.2566 b=7.3517 c=7.4051 alpha=109.35 beta=90.00 gamma=90.00
Last column: nearest neighbours and their distance in Å.
Element x y z (fractional)
La (0.5000, 0.0000, 0.5000)  6 As 3.04
La (0.0000, 0.5000, 0.5000)  6 As 3.10-3.12
Pm (0.5000, 0.5000, 0.0000)  6 As 2.98-2.99
Pa (0.0000, 0.0000, 0.0000)  6 As 2.90-2.92
As (0.5000, 0.2374, 0.2328)  2 Pa 2.92, 1 Pm 2.98, 3 La 3.04-3.10
As (0.5000, 0.7626, 0.7672)  2 Pa 2.92, 1 Pm 2.98, 3 La 3.04-3.10
As (0.0000, 0.2452, 0.7633)  1 Pa 2.90, 2 Pm 2.99, 3 La 3.04-3.12
As (0.0000, 0.7548, 0.2367)  1 Pa 2.90, 2 Pm 2.99, 3 La 3.04-3.12



Q: What is the total magnetization in the seventh record?
A: 0.000 Bohr magnetons per cell



Q: The highest V belongs to which entry?
A: Na2InCuBr6